{
  "formula": "MnOsCl",
  "functional": "PBE",
  "state": "relaxed",
  "lattice": [[-0.991, -2.630, -0.983], [1.478, 1.816, -1.839], [5.455, -2.699, 1.718]],
  "species": ["Os", "Cl", "Mn"],
  "fractional_positions": [[0.333, 0.667, 0.613], [0.000, 0.000, 0.058], [0.667, 0.333, 0.330]],
  "magnetic_moment_mub_per_atom": 1.103,
  "de_polymorph_mev_per_atom": 0.0,
  "dos_at_fermi_per_ev_fu": 2.1,
  "formation_energy_uncorrected_mev_per_atom": 336
}